No. 1
Material: AlBi
Method: DFT, PBE
State: relaxed

```
AlBi
1.0
0.000 3.226 3.226
3.226 0.000 3.226
3.226 3.226 0.000
Al Bi
1 1
direct
0.000 0.000 0.000 Al
0.250 0.250 0.250 Bi
```

- ΔE_f: 0.08 eV/atom
- Space-group type: F-43m (216)
- Volume: 67.1 Å³ per cell
- Total magnetization: 0.0 μB per formula unit

No. 2
Material: LiMg4Ga5
Method: DFT, PBE
State: relaxed

```
LiMg4Ga5
1.0
3.267 0.000 0.000
0.000 3.267 0.000
0.000 0.000 17.388
Li Mg Ga
1 4 5
direct
0.000 0.000 0.000 Li
0.000 0.000 0.188 Mg
0.000 0.000 0.396 Mg
0.000 0.000 0.604 Mg
0.000 0.000 0.812 Mg
0.500 0.500 0.085 Ga
0.500 0.500 0.292 Ga
0.500 0.500 0.500 Ga
0.500 0.500 0.708 Ga
0.500 0.500 0.915 Ga
```

- ΔE_f: -0.17 eV/atom
- Space-group type: P4/mmm (123)
- Volume: 185.5 Å³ per cell
- Total magnetization: 0.0 μB per formula unit

No. 3
Material: UPa2TaN6
Method: DFT, PBE
State: relaxed

```
UPa2TaN6
1.0
2.913 1.682 4.819
-2.913 1.682 4.819
0.000 -3.363 4.819
U Pa Ta N
1 2 1 6
direct
0.000 0.000 0.000 U
0.279 0.279 0.279 Pa
0.776 0.776 0.776 Pa
0.497 0.497 0.497 Ta
0.124 0.690 0.378 N
0.214 0.618 0.853 N
0.378 0.124 0.690 N
0.618 0.853 0.214 N
0.690 0.378 0.124 N
0.853 0.214 0.618 N
```

- ΔE_f (raw): -13.4 eV per formula unit
- Space-group type: R3 (146)
- Volume: 141.6 Å³ per cell
- Total magnetization: 2.3 μB per formula unit

No. 4
Material: AlAsP
Method: DFT, PBE
State: relaxed

```
AlAsP
1.0
3.648 0.000 0.000
-1.824 3.159 0.000
0.000 0.000 4.688
Al As P
1 1 1
direct
0.000 0.000 0.000 Al
0.667 0.333 0.359 As
0.333 0.667 0.720 P
```

- E above lowest polymorph: 0.000 eV/atom
- ΔE_f: 0.04 eV/atom
- Space-group type: P3m1 (156)
- Volume: 54.0 Å³ per cell
- Total magnetization: 0.0 μB per formula unit

No. 5
Material: LiVSb2P
Method: DFT, PBE
State: relaxed

```
LiVSb2P
1.0
4.825 0.000 0.000
0.000 4.825 0.000
0.000 0.000 4.552
Li V Sb P
1 1 2 1
direct
0.000 0.000 0.000 Li
0.000 0.000 0.500 V
0.000 0.500 0.000 Sb
0.500 0.000 0.000 Sb
0.500 0.500 0.500 P
```

- ΔE_f (raw): 4.1 eV per formula unit
- Space-group type: P4/mmm (123)
- Volume: 106.0 Å³ per cell
- Total magnetization: 3.0 μB per formula unit

No. 6
Material: Pm4Si3PdPt12
Method: DFT, PBE
State: relaxed

```
Pm4Si3PdPt12
1.0
-4.692 4.692 4.692
4.692 -4.692 4.692
4.692 4.692 -4.692
Pm Si Pd Pt
4 3 1 12
direct
0.000 0.000 0.500 Pm
0.000 0.500 0.000 Pm
0.500 0.000 0.000 Pm
0.500 0.500 0.500 Pm
0.000 0.500 0.500 Si
0.500 0.000 0.500 Si
0.500 0.500 0.000 Si
0.000 0.000 0.000 Pd
0.000 0.266 0.266 Pt
0.000 0.734 0.734 Pt
0.250 0.500 0.750 Pt
0.250 0.750 0.500 Pt
0.266 0.000 0.266 Pt
0.266 0.266 0.000 Pt
0.500 0.250 0.750 Pt
0.500 0.750 0.250 Pt
0.734 0.000 0.734 Pt
0.734 0.734 0.000 Pt
0.750 0.250 0.500 Pt
0.750 0.500 0.250 Pt
```

- ΔE_f (raw): -10.6 eV per formula unit
- Space-group type: Im-3m (229)
- Volume: 413.2 Å³ per cell
- Total magnetization: 0.0 μB per formula unit